Material: Ca4CePt5
Method: DFT, PBE-GGA
State: relaxed

a = 3.527 Å, b = 3.527 Å, c = 17.530 Å
α = 90.00°, β = 90.00°, γ = 90.00°
Atoms (fractional coordinates):
Ca 0.000 0.000 0.097
Ca 0.000 0.000 0.292
Ca 0.000 0.000 0.708
Ca 0.000 0.000 0.903
Ce 0.000 0.000 0.500
Pt 0.500 0.500 0.000
Pt 0.500 0.500 0.197
Pt 0.500 0.500 0.404
Pt 0.500 0.500 0.596
Pt 0.500 0.500 0.803

Formation energy: -0.924 eV/atom
Magnetization: 0.0670 μB/atom

***

Material: Ca3CePt3
Method: DFT, PBE-GGA
State: relaxed

a = 7.271 Å, b = 7.271 Å, c = 7.305 Å
α = 101.28°, β = 101.28°, γ = 77.77°
Atoms (fractional coordinates):
Ca 0.199 0.801 0.000
Ca 0.287 0.287 0.015
Ca 0.287 0.713 0.500
Ca 0.713 0.287 0.500
Ca 0.713 0.713 0.985
Ca 0.801 0.199 0.000
Ce 0.212 0.212 0.470
Ce 0.788 0.788 0.530
Pt 0.002 0.496 0.742
Pt 0.051 0.051 0.710
Pt 0.496 0.002 0.742
Pt 0.504 0.998 0.258
Pt 0.949 0.949 0.290
Pt 0.998 0.504 0.258

Formation energy: -0.826 eV/atom
Magnetization: 0.0930 μB/atom

***

Material: CaCePt
Method: DFT, PBE-GGA
State: relaxed

a = 10.028 Å, b = 10.028 Å, c = 4.853 Å
α = 90.00°, β = 90.00°, γ = 159.74°
Atoms (fractional coordinates):
Ca 0.193 0.807 0.750
Ca 0.807 0.193 0.250
Ce 0.069 0.931 0.250
Ce 0.931 0.069 0.750
Pt 0.441 0.559 0.250
Pt 0.559 0.441 0.750

Formation energy: -0.617 eV/atom
Magnetization: 0.2597 μB/atom

***

Material: Ca2CePt9
Method: DFT, PBE-GGA
State: relaxed

a = 9.452 Å, b = 9.452 Å, c = 9.452 Å
α = 33.30°, β = 33.30°, γ = 33.30°
Atoms (fractional coordinates):
Ca 0.142 0.142 0.142
Ca 0.858 0.858 0.858
Ce 0.000 0.000 0.000
Pt 0.082 0.586 0.586
Pt 0.333 0.333 0.333
Pt 0.414 0.414 0.918
Pt 0.414 0.918 0.414
Pt 0.500 0.500 0.500
Pt 0.586 0.082 0.586
Pt 0.586 0.586 0.082
Pt 0.667 0.667 0.667
Pt 0.918 0.414 0.414

Formation energy: -0.831 eV/atom
Magnetization: 0.0450 μB/atom

***

Material: CaCeRuPt
Method: DFT, PBE-GGA
State: relaxed

a = 4.901 Å, b = 4.901 Å, c = 4.901 Å
α = 60.00°, β = 60.00°, γ = 60.00°
Atoms (fractional coordinates):
Ca 0.000 0.000 0.000
Ce 0.500 0.500 0.500
Ru 0.250 0.250 0.250
Pt 0.750 0.750 0.750

Formation energy: -0.482 eV/atom
Magnetization: 0.0000 μB/atom

***

Material: Ca2CeSb3Pt4
Method: DFT, PBE-GGA
State: relaxed

a = 4.582 Å, b = 4.582 Å, c = 11.430 Å
α = 90.00°, β = 90.00°, γ = 90.00°
Atoms (fractional coordinates):
Ca 0.000 0.500 0.211
Ca 0.500 0.000 0.789
Ce 0.000 0.000 0.500
Sb 0.000 0.500 0.874
Sb 0.500 0.000 0.126
Sb 0.500 0.500 0.500
Pt 0.000 0.000 0.000
Pt 0.000 0.500 0.646
Pt 0.500 0.000 0.354
Pt 0.500 0.500 0.000

Magnetization: 0.0778 μB/atom
Uncorrected formation energy: -812.2 meV per atom

***

Material: CaCeSi2Pt2
Method: DFT, PBE-GGA
State: relaxed

a = 4.194 Å, b = 4.194 Å, c = 8.249 Å
α = 90.00°, β = 90.00°, γ = 120.00°
Atoms (fractional coordinates):
Ca 0.000 0.000 0.000
Ce 0.000 0.000 0.500
Si 0.333 0.667 0.743
Si 0.667 0.333 0.257
Pt 0.333 0.667 0.256
Pt 0.667 0.333 0.744

Magnetization: 0.0004 μB/atom
Uncorrected formation energy: -1012.2 meV per atom

***

Material: CaCeSi2Pt5
Method: DFT, PBE-GGA
State: relaxed

a = 4.068 Å, b = 4.068 Å, c = 11.507 Å
α = 90.00°, β = 90.00°, γ = 90.00°
Atoms (fractional coordinates):
Ca 0.000 0.000 0.000
Ce 0.000 0.000 0.500
Si 0.500 0.500 0.202
Si 0.500 0.500 0.798
Pt 0.000 0.500 0.311
Pt 0.000 0.500 0.689
Pt 0.500 0.000 0.311
Pt 0.500 0.000 0.689
Pt 0.500 0.500 0.000

Magnetization: 0.0560 μB/atom
Uncorrected formation energy: -857.5 meV per atom

***

Material: CaCeTlPt
Method: DFT, PBE-GGA
State: relaxed

a = 5.235 Å, b = 5.235 Å, c = 5.235 Å
α = 60.00°, β = 60.00°, γ = 60.00°
Atoms (fractional coordinates):
Ca 0.000 0.000 0.000
Ce 0.500 0.500 0.500
Tl 0.250 0.250 0.250
Pt 0.750 0.750 0.750

Formation energy: -0.554 eV/atom
Magnetization: 0.2036 μB/atom

***

Material: CaCeZnPt
Method: DFT, PBE-GGA
State: relaxed

a = 5.056 Å, b = 5.056 Å, c = 5.056 Å
α = 60.00°, β = 60.00°, γ = 60.00°
Atoms (fractional coordinates):
Ca 0.000 0.000 0.000
Ce 0.500 0.500 0.500
Zn 0.250 0.250 0.250
Pt 0.750 0.750 0.750

Formation energy: -0.598 eV/atom
Magnetization: 0.1993 μB/atom

***

Material: CaCe2PuS4
Method: DFT, PBE-GGA
State: relaxed

a = 6.964 Å, b = 4.003 Å, c = 6.975 Å
α = 90.00°, β = 109.36°, γ = 90.00°
Atoms (fractional coordinates):
Ca 0.000 0.000 0.000
Ce 0.000 0.500 0.500
Ce 0.500 0.000 0.500
Pu 0.500 0.500 0.000
S 0.248 0.500 0.245
S 0.253 0.000 0.757
S 0.747 0.000 0.243
S 0.752 0.500 0.755

Magnetization: 0.9774 μB/atom
Uncorrected formation energy: -1953.7 meV per atom

***

Material: CaCePu2S4
Method: DFT, PBE-GGA
State: relaxed

a = 6.915 Å, b = 3.997 Å, c = 6.948 Å
α = 90.00°, β = 109.46°, γ = 90.00°
Atoms (fractional coordinates):
Ca 0.000 0.000 0.000
Ce 0.000 0.500 0.500
Pu 0.500 0.000 0.500
Pu 0.500 0.500 0.000
S 0.254 0.500 0.250
S 0.256 0.000 0.754
S 0.744 0.000 0.246
S 0.746 0.500 0.750

Magnetization: 1.5678 μB/atom
Uncorrected formation energy: -1897.6 meV per atom

***

magnetization of number 6 (Ca2CeSb3Pt4)? 0.0778 μB/atom